Entry 1:
## SbHPd3 (PBE)

Data for a relaxed structure of SbHPd3.

* E above lowest polymorph: 0.000 eV/atom

Cell: 4.119 4.119 4.119 Å, 90.00 90.00 90.00°
Element x y z (fractional)
Sb1 0.000 0.000 0.000
H1 0.500 0.500 0.500
Pd1 0.000 0.500 0.500
Pd2 0.500 0.000 0.500
Pd3 0.500 0.500 0.000

Entry 2:
## LaPr3Er4 (PBE)

Data for a relaxed structure of LaPr3Er4.

* E above lowest polymorph: 0.105 eV/atom
* energy relative to the elements: 0.138 eV/atom

Cell: 9.040 9.040 9.040 Å, 158.01 99.01 85.19°
Element x y z (fractional)
La1 0.000 0.000 0.000
Pr1 0.242 0.742 0.500
Pr2 0.500 0.500 0.000
Pr3 0.758 0.258 0.500
Er1 0.115 0.865 0.251
Er2 0.386 0.135 0.251
Er3 0.614 0.865 0.749
Er4 0.885 0.135 0.749

Entry 3:
## Tl3SiCl (PBE)

Data for a relaxed structure of Tl3SiCl.

* E above lowest polymorph: 0.000 eV/atom
* uncorrected formation energy: 5 kJ per mole of atoms

Cell: 5.568 5.568 5.568 Å, 90.00 90.00 90.00°
Element x y z (fractional)
Tl1 0.000 0.000 0.500
Tl2 0.000 0.500 0.000
Tl3 0.500 0.000 0.000
Si1 0.000 0.000 0.000
Cl1 0.500 0.500 0.500

Entry 4:
## Ba2GeBiPd6 (PBE)

Data for a relaxed structure of Ba2GeBiPd6.

* energy relative to the elements: -0.544 eV/atom

Cell: 6.856 6.856 8.587 Å, 124.51 124.51 50.48°
Element x y z (fractional)
Ba1 0.245 0.245 0.286
Ba2 0.755 0.755 0.714
Ge1 0.500 0.500 0.000
Bi1 0.000 0.000 0.500
Pd1 0.226 0.713 0.208
Pd2 0.256 0.256 0.885
Pd3 0.287 0.774 0.792
Pd4 0.713 0.226 0.208
Pd5 0.744 0.744 0.115
Pd6 0.774 0.287 0.792

no.,E_tot (eV for the cell shown)
1,-24.39
2,-36.41
3,-14.11
4,-48.94